1.
## SiAu2Se (PBE-GGA)

Data for an optimized crystal structure of SiAu2Se.

Structure (CIF):
```
data_SiAu2Se
_cell_length_a 4.131
_cell_length_b 4.131
_cell_length_c 8.791
_cell_angle_alpha 90.00
_cell_angle_beta 90.00
_cell_angle_gamma 90.00
_symmetry_space_group_name_H-M 'I -4 m 2'
_symmetry_Int_Tables_number 119
_symmetry_space_group_name_Hall 'I -4 -2'
loop_
_atom_site_label
_atom_site_fract_x
_atom_site_fract_y
_atom_site_fract_z
_atom_site_occupancy
Si1 0.000 0.000 0.000 1
Au1 0.000 0.000 0.500 1
Au2 0.000 0.500 0.750 1
Se1 0.000 0.500 0.250 1
```

E above lowest polymorph   363 meV per atom
Crystal system   tetragonal
Uncorrected formation energy   0.3933 eV/atom
Density of states at the Fermi level   4.6 states/eV/cell

---

2.
## Si2AuSe6 (PBE-GGA)

Data for an optimized crystal structure of Si2AuSe6.

Structure (CIF):
```
data_Si2AuSe6
_cell_length_a 12.282
_cell_length_b 11.823
_cell_length_c 6.322
_cell_angle_alpha 90.00
_cell_angle_beta 101.81
_cell_angle_gamma 90.00
_symmetry_space_group_name_H-M 'C 1 2/c 1'
_symmetry_Int_Tables_number 15
loop_
_symmetry_equiv_pos_as_xyz
'x,y,z'
'-x,-y,-z'
'-x,y,-z+1/2'
'x,-y,z+1/2'
'x+1/2,y+1/2,z'
'-x+1/2,-y+1/2,-z'
'-x+1/2,y+1/2,-z+1/2'
'x+1/2,-y+1/2,z+1/2'
loop_
_atom_site_label
_atom_site_fract_x
_atom_site_fract_y
_atom_site_fract_z
_atom_site_occupancy
Si1 0.195 0.079 0.329 1
Au1 0.000 0.382 0.250 1
Se1 0.112 0.422 0.637 1
Se2 0.126 0.085 0.643 1
Se3 0.141 0.238 0.131 1
```

Crystal system   monoclinic
Uncorrected formation energy   -0.1185 eV/atom
Density of states at the Fermi level   25.8 states/eV/cell

---

3.
## SiAu2Se (PBE-GGA)

Data for an optimized crystal structure of SiAu2Se.

Structure (CIF):
```
data_SiAu2Se
_cell_length_a 3.935
_cell_length_b 3.935
_cell_length_c 9.868
_cell_angle_alpha 90.00
_cell_angle_beta 90.00
_cell_angle_gamma 90.00
_symmetry_space_group_name_H-M 'I 4/m m m'
_symmetry_Int_Tables_number 139
_symmetry_space_group_name_Hall '-I 4 2'
loop_
_atom_site_label
_atom_site_fract_x
_atom_site_fract_y
_atom_site_fract_z
_atom_site_occupancy
Si1 0.000 0.000 0.000 1
Au1 0.000 0.500 0.250 1
Se1 0.000 0.000 0.500 1
```

E above lowest polymorph   299 meV per atom
Crystal system   tetragonal
Uncorrected formation energy   0.3300 eV/atom
Density of states at the Fermi level   3.3 states/eV/cell

---

4.
## SiAuSe2 (PBE-GGA)

Data for an optimized crystal structure of SiAuSe2.

Structure (CIF):
```
data_SiAuSe2
_cell_length_a 3.7608
_cell_length_b 3.7608
_cell_length_c 22.9505
_cell_angle_alpha 90.00
_cell_angle_beta 90.00
_cell_angle_gamma 120.00
_symmetry_space_group_name_H-M 'R -3 m'
_symmetry_Int_Tables_number 166
_symmetry_space_group_name_Hall '-R 3 2"'
loop_
_atom_site_label
_atom_site_fract_x
_atom_site_fract_y
_atom_site_fract_z
_atom_site_occupancy
Si1 0.0000 0.0000 0.0000 1
Au1 0.0000 0.0000 0.5000 1
Se1 0.0000 0.0000 0.3937 1
```

Crystal system   trigonal
Uncorrected formation energy   -0.0342 eV/atom
Density of states at the Fermi level   5.8 states/eV/cell

---

5.
## SiAuSe (PBE-GGA)

Data for an optimized crystal structure of SiAuSe.

Structure (CIF):
```
data_SiAuSe
_cell_length_a 6.377
_cell_length_b 6.377
_cell_length_c 6.377
_cell_angle_alpha 90.00
_cell_angle_beta 90.00
_cell_angle_gamma 90.00
_symmetry_space_group_name_H-M 'F -4 3 m'
_symmetry_Int_Tables_number 216
_symmetry_space_group_name_Hall 'F -4 2 3'
loop_
_atom_site_label
_atom_site_fract_x
_atom_site_fract_y
_atom_site_fract_z
_atom_site_occupancy
Si1 0.000 0.000 0.000 1
Au1 0.250 0.250 0.250 1
Se1 0.000 0.000 0.500 1
```

Crystal system   cubic
Uncorrected formation energy   0.2927 eV/atom
Density of states at the Fermi level   3.4 states/eV/cell

---

6.
## SiAuSe (PBE-GGA)

Data for an optimized crystal structure of SiAuSe.

Structure (CIF):
```
data_SiAuSe
_cell_length_a 3.245
_cell_length_b 3.245
_cell_length_c 10.739
_cell_angle_alpha 90.00
_cell_angle_beta 90.00
_cell_angle_gamma 90.00
_symmetry_space_group_name_H-M 'I 4 m m'
_symmetry_Int_Tables_number 107
_symmetry_space_group_name_Hall 'I 4 -2'
loop_
_atom_site_label
_atom_site_fract_x
_atom_site_fract_y
_atom_site_fract_z
_atom_site_occupancy
Si1 0.000 0.000 0.000 1
Au1 0.000 0.000 0.349 1
Se1 0.000 0.000 0.628 1
```

Crystal system   tetragonal
Uncorrected formation energy   0.3480 eV/atom
Density of states at the Fermi level   2.8 states/eV/cell

---

7.
## SiAuSe2 (PBE-GGA)

Data for an optimized crystal structure of SiAuSe2.

Structure (CIF):
```
data_SiAuSe2
_cell_length_a 3.7326
_cell_length_b 3.7326
_cell_length_c 19.7741
_cell_angle_alpha 90.00
_cell_angle_beta 90.00
_cell_angle_gamma 120.00
_symmetry_space_group_name_H-M 'R -3 m'
_symmetry_Int_Tables_number 166
_symmetry_space_group_name_Hall '-R 3 2"'
loop_
_atom_site_label
_atom_site_fract_x
_atom_site_fract_y
_atom_site_fract_z
_atom_site_occupancy
Si1 0.0000 0.0000 0.0000 1
Au1 0.0000 0.0000 0.5000 1
Se1 0.0000 0.0000 0.2593 1
```

Crystal system   trigonal
Uncorrected formation energy   -0.0165 eV/atom
Density of states at the Fermi level   1.5 states/eV/cell

---

8.
## Si3AuSe (PBE-GGA)

Data for an optimized crystal structure of Si3AuSe.

Structure (CIF):
```
data_Si3AuSe
_cell_length_a 4.880
_cell_length_b 4.880
_cell_length_c 4.880
_cell_angle_alpha 90.00
_cell_angle_beta 90.00
_cell_angle_gamma 90.00
_symmetry_space_group_name_H-M 'P m -3 m'
_symmetry_Int_Tables_number 221
_symmetry_space_group_name_Hall '-P 4 2 3'
loop_
_atom_site_label
_atom_site_fract_x
_atom_site_fract_y
_atom_site_fract_z
_atom_site_occupancy
Si1 0.000 0.000 0.500 1
Au1 0.000 0.000 0.000 1
Se1 0.500 0.500 0.500 1
```

E above lowest polymorph   0 meV per atom
Crystal system   cubic
Uncorrected formation energy   0.8656 eV/atom
Density of states at the Fermi level   2.1 states/eV/cell

---

9.
## SiAuSe2 (PBE-GGA)

Data for an optimized crystal structure of SiAuSe2.

Structure (CIF):
```
data_SiAuSe2
_cell_length_a 2.757
_cell_length_b 5.376
_cell_length_c 5.482
_cell_angle_alpha 90.00
_cell_angle_beta 102.81
_cell_angle_gamma 90.00
_symmetry_space_group_name_H-M 'P 1 2/m 1'
_symmetry_Int_Tables_number 10
loop_
_symmetry_equiv_pos_as_xyz
'x,y,z'
'-x,-y,-z'
'-x,y,-z'
'x,-y,z'
loop_
_atom_site_label
_atom_site_fract_x
_atom_site_fract_y
_atom_site_fract_z
_atom_site_occupancy
Si1 0.000 0.000 0.000 1
Au1 0.500 0.000 0.500 1
Se1 0.019 0.500 0.247 1
```

Crystal system   monoclinic
Uncorrected formation energy   0.4114 eV/atom
Density of states at the Fermi level   1.3 states/eV/cell

---

10.
## SiAu2Se (PBE-GGA)

Data for an optimized crystal structure of SiAu2Se.

Structure (CIF):
```
data_SiAu2Se
_cell_length_a 2.823
_cell_length_b 3.590
_cell_length_c 7.779
_cell_angle_alpha 90.00
_cell_angle_beta 90.50
_cell_angle_gamma 90.00
_symmetry_space_group_name_H-M 'P 1 2/m 1'
_symmetry_Int_Tables_number 10
loop_
_symmetry_equiv_pos_as_xyz
'x,y,z'
'-x,-y,-z'
'-x,y,-z'
'x,-y,z'
loop_
_atom_site_label
_atom_site_fract_x
_atom_site_fract_y
_atom_site_fract_z
_atom_site_occupancy
Si1 0.000 0.000 0.000 1
Au1 0.002 0.500 0.770 1
Se1 0.000 0.000 0.500 1
```

E above lowest polymorph   89 meV per atom
Crystal system   monoclinic
Uncorrected formation energy   0.1195 eV/atom
Density of states at the Fermi level   2.5 states/eV/cell

---

11.
## SiAu2Se (PBE-GGA)

Data for an optimized crystal structure of SiAu2Se.

Structure (CIF):
```
data_SiAu2Se
_cell_length_a 15.926
_cell_length_b 2.757
_cell_length_c 4.076
_cell_angle_alpha 90.00
_cell_angle_beta 101.79
_cell_angle_gamma 90.00
_symmetry_space_group_name_H-M 'C 1 m 1'
_symmetry_Int_Tables_number 8
loop_
_symmetry_equiv_pos_as_xyz
'x,y,z'
'x,-y,z'
'x+1/2,y+1/2,z'
'x+1/2,-y+1/2,z'
loop_
_atom_site_label
_atom_site_fract_x
_atom_site_fract_y
_atom_site_fract_z
_atom_site_occupancy
Si1 0.000 0.000 0.000 1
Au1 0.135 0.500 0.064 1
Au2 0.448 0.000 0.460 1
Se1 0.278 0.000 0.994 1
```

E above lowest polymorph   58 meV per atom
Crystal system   monoclinic
Uncorrected formation energy   0.0890 eV/atom
Density of states at the Fermi level   1.4 states/eV/cell

---

12.
## Si4AuSe (PBE-GGA)

Data for an optimized crystal structure of Si4AuSe.

Structure (CIF):
```
data_Si4AuSe
_cell_length_a 7.456
_cell_length_b 7.456
_cell_length_c 7.456
_cell_angle_alpha 90.00
_cell_angle_beta 90.00
_cell_angle_gamma 90.00
_symmetry_space_group_name_H-M 'F -4 3 m'
_symmetry_Int_Tables_number 216
_symmetry_space_group_name_Hall 'F -4 2 3'
loop_
_atom_site_label
_atom_site_fract_x
_atom_site_fract_y
_atom_site_fract_z
_atom_site_occupancy
Si1 0.124 0.124 0.124 1
Au1 0.250 0.250 0.750 1
Se1 0.000 0.000 0.500 1
```

Crystal system   cubic
Uncorrected formation energy   0.6262 eV/atom
Density of states at the Fermi level   22.1 states/eV/cell

---

13.
## SiAu2Se (PBE-GGA)

Data for an optimized crystal structure of SiAu2Se.

Structure (CIF):
```
data_SiAu2Se
_cell_length_a 6.723
_cell_length_b 6.723
_cell_length_c 6.723
_cell_angle_alpha 90.00
_cell_angle_beta 90.00
_cell_angle_gamma 90.00
_symmetry_space_group_name_H-M 'F -4 3 m'
_symmetry_Int_Tables_number 216
_symmetry_space_group_name_Hall 'F -4 2 3'
loop_
_atom_site_label
_atom_site_fract_x
_atom_site_fract_y
_atom_site_fract_z
_atom_site_occupancy
Si1 0.000 0.000 0.000 1
Au1 0.000 0.000 0.500 1
Au2 0.250 0.250 0.250 1
Se1 0.250 0.250 0.750 1
```

E above lowest polymorph   385 meV per atom
Crystal system   cubic
Uncorrected formation energy   0.4158 eV/atom
Density of states at the Fermi level   6.2 states/eV/cell

---

14.
## SiAu2Se (PBE-GGA)

Data for an optimized crystal structure of SiAu2Se.

Structure (CIF):
```
data_SiAu2Se
_cell_length_a 2.794
_cell_length_b 3.550
_cell_length_c 7.867
_cell_angle_alpha 90.00
_cell_angle_beta 99.33
_cell_angle_gamma 90.00
_symmetry_space_group_name_H-M 'P 1 m 1'
_symmetry_Int_Tables_number 6
loop_
_symmetry_equiv_pos_as_xyz
'x,y,z'
'x,-y,z'
loop_
_atom_site_label
_atom_site_fract_x
_atom_site_fract_y
_atom_site_fract_z
_atom_site_occupancy
Si1 0.000 0.000 0.000 1
Au1 0.125 0.500 0.236 1
Au2 0.748 0.000 0.478 1
Se1 0.888 0.500 0.763 1
```

E above lowest polymorph   73 meV per atom
Crystal system   monoclinic
Uncorrected formation energy   0.1039 eV/atom
Density of states at the Fermi level   1.4 states/eV/cell